[1]
PBE with a Hubbard U AcV4Pb3O12, relaxed; SG = R32 (155)
1.0
5.9435 3.4315 3.0924
-5.9435 3.4315 3.0924
0.0000 -6.8629 3.0924
Ac V Pb O
1 4 3 12
Direct
0.0000 0.0000 0.0000
0.0360 0.5000 0.9640
0.5000 0.5000 0.5000
0.5000 0.9640 0.0360
0.9640 0.0360 0.5000
0.0000 0.5382 0.4618
0.4618 0.0000 0.5382
0.5382 0.4618 0.0000
0.0223 0.6640 0.8316
0.1096 0.8904 0.5000
0.1684 0.3360 0.9777
0.3360 0.9777 0.1684
0.3538 0.6462 0.5000
0.5000 0.1096 0.8904
0.5000 0.3538 0.6462
0.6462 0.5000 0.3538
0.6640 0.8316 0.0223
0.8316 0.0223 0.6640
0.8904 0.5000 0.1096
0.9776 0.1684 0.3360


[2]
PBE with a Hubbard U Ac2VPbO8, relaxed; SG = P-3m1 (164)
1.0
5.4990 0.0000 0.0000
-2.7495 4.7622 0.0000
0.0000 0.0000 6.9002
Ac V Pb O
2 1 1 8
Direct
0.3333 0.6667 0.3472
0.6667 0.3333 0.6528
0.0000 0.0000 0.5000
0.0000 0.0000 0.0000
0.1612 0.3224 0.6577
0.1612 0.8388 0.6577
0.3224 0.1612 0.3423
0.3333 0.6667 0.0179
0.6667 0.3333 0.9821
0.6776 0.8388 0.6577
0.8388 0.1612 0.3423
0.8388 0.6776 0.3423


[3]
PBE with a Hubbard U Ac2PbWO8, relaxed; SG = P-1 (2)
1.0
4.8797 0.0000 0.0000
-0.4021 5.3877 0.0000
-0.2332 -0.2718 7.4126
Ac Pb W O
2 1 1 8
Direct
0.0945 0.0178 0.2680
0.9055 0.9822 0.7320
0.5000 0.5000 0.0000
0.5000 0.5000 0.5000
0.1924 0.2687 0.5438
0.2158 0.2032 0.9746
0.3106 0.6073 0.2702
0.3626 0.7543 0.6605
0.6374 0.2457 0.3395
0.6894 0.3927 0.7298
0.7842 0.7968 0.0254
0.8076 0.7313 0.4562


[4]
PBE with a Hubbard U Ac2PbWO6, relaxed; SG = P4mm (99)
1.0
5.7913 0.0000 0.0000
0.0000 5.7913 0.0000
0.0000 0.0000 5.7428
Ac Pb W O
2 1 1 6
Direct
0.0000 0.5000 0.0000
0.5000 0.0000 0.0000
0.0000 0.0000 0.5071
0.5000 0.5000 0.6191
0.0000 0.0000 0.1110
0.2782 0.2782 0.7639
0.2782 0.7218 0.7639
0.5000 0.5000 0.2955
0.7218 0.2782 0.7639
0.7218 0.7218 0.7639


Number 1: total energy -137.05 eV/cell. Number 2: total energy -80.23 eV/cell. Number 3: total energy -85.81 eV/cell. Number 4: total energy -71.43 eV/cell.